Compound: Y4Be
Source: Alexandria
Functional: PBE
Structure: relaxed

Computed properties:
- VASP energy: -5.868 eV per atom
- ΔE to the lowest computed polymorph: 0.0 kJ/mol of atoms
- D(E_F): 1.251 states/eV/atom
- ΔE_f: 0.2 eV/f.u.
- Space-group type: I4/m, No. 87

Cell lengths 6.479, 6.479, 6.479 Å; angles 94.30, 94.30, 148.23 degrees
Atoms (fractional coordinates):
Y 0.240 0.576 0.816
Y 0.576 0.760 0.335
Y 0.760 0.424 0.184
Y 0.424 0.240 0.665
Be 0.000 0.000 0.000